No. 1
# PBE HgMoRu2, optimized geometry
data_HgMoRu2
_chemical_formula_sum 'Hg3 Mo3 Ru6'
_symmetry_space_group_name_H-M 'R 3 m'
_symmetry_Int_Tables_number 160
_symmetry_space_group_name_Hall 'R 3 -2"'
_cell_length_a 2.8221
_cell_length_b 2.8221
_cell_length_c 27.9216
_cell_angle_alpha 90.00
_cell_angle_beta 90.00
_cell_angle_gamma 120.00
loop_
_atom_site_label
_atom_site_type_symbol
_atom_site_fract_x
_atom_site_fract_y
_atom_site_fract_z
_atom_site_occupancy
Hg1 Hg 0.0000 0.0000 0.0000 1
Mo1 Mo 0.0000 0.0000 0.7586 1
Ru1 Ru 0.0000 0.0000 0.2448 1
Ru2 Ru 0.0000 0.0000 0.5032 1
# - Size of the total moment: 0.00 μB/f.u.
# - E_tot: -7.036 eV per atom
# - Volume: 16.049 Å³/atom


No. 2
# PBE Hg2MoRu, optimized geometry
data_Hg2MoRu
_chemical_formula_sum 'Hg4 Mo2 Ru2'
_symmetry_space_group_name_H-M 'C m m m'
_symmetry_Int_Tables_number 65
_symmetry_space_group_name_Hall '-C 2 2'
_cell_length_a 4.0463
_cell_length_b 4.0581
_cell_length_c 8.6765
_cell_angle_alpha 90.00
_cell_angle_beta 90.00
_cell_angle_gamma 90.00
loop_
_atom_site_label
_atom_site_type_symbol
_atom_site_fract_x
_atom_site_fract_y
_atom_site_fract_z
_atom_site_occupancy
Hg1 Hg 0.0000 0.0000 0.2440 1
Mo1 Mo 0.0000 0.5000 0.5000 1
Ru1 Ru 0.0000 0.5000 0.0000 1
# - Size of the total moment: 1.65 μB/f.u.
# - E_tot: -4.483 eV per atom
# - Volume: 17.809 Å³/atom
# - ΔE to the lowest computed polymorph: 0.442 eV per atom


No. 3
# PBE HgMoRu, optimized geometry
data_HgMoRu
_chemical_formula_sum 'Hg2 Mo2 Ru2'
_symmetry_space_group_name_H-M 'I 4 m m'
_symmetry_Int_Tables_number 107
_symmetry_space_group_name_Hall 'I 4 -2'
_cell_length_a 2.9768
_cell_length_b 2.9768
_cell_length_c 11.6444
_cell_angle_alpha 90.00
_cell_angle_beta 90.00
_cell_angle_gamma 90.00
loop_
_atom_site_label
_atom_site_type_symbol
_atom_site_fract_x
_atom_site_fract_y
_atom_site_fract_z
_atom_site_occupancy
Hg1 Hg 0.0000 0.0000 0.0000 1
Mo1 Mo 0.0000 0.0000 0.6903 1
Ru1 Ru 0.0000 0.0000 0.3155 1
# - Size of the total moment: 0.00 μB/f.u.
# - E_tot: -6.522 eV per atom
# - Volume: 17.197 Å³/atom
# - ΔE to the lowest computed polymorph: 0.000 eV per atom


No. 4
# PBE Hg2MoRu, optimized geometry
data_Hg2MoRu
_chemical_formula_sum 'Hg2 Mo1 Ru1'
_symmetry_space_group_name_H-M 'P m m m'
_symmetry_Int_Tables_number 47
_cell_length_a 3.0195
_cell_length_b 4.8439
_cell_length_c 4.9156
_cell_angle_alpha 90.00
_cell_angle_beta 90.00
_cell_angle_gamma 90.00
loop_
_symmetry_equiv_pos_as_xyz
'x,y,z'
'-x,-y,-z'
'-x,-y,z'
'x,y,-z'
'x,-y,-z'
'-x,y,z'
'-x,y,-z'
'x,-y,z'
loop_
_atom_site_label
_atom_site_type_symbol
_atom_site_fract_x
_atom_site_fract_y
_atom_site_fract_z
_atom_site_occupancy
Hg1 Hg 0.0000 0.0000 0.0000 1
Hg2 Hg 0.5000 0.5000 0.0000 1
Mo1 Mo 0.0000 0.5000 0.5000 1
Ru1 Ru 0.5000 0.0000 0.5000 1
# - Size of the total moment: 0.00 μB/f.u.
# - E_tot: -4.464 eV per atom
# - Volume: 17.974 Å³/atom
# - ΔE to the lowest computed polymorph: 0.461 eV per atom


No. 5
# PBE HgMoRu2, optimized geometry
data_HgMoRu2
_chemical_formula_sum 'Hg1 Mo1 Ru2'
_symmetry_space_group_name_H-M 'P m m m'
_symmetry_Int_Tables_number 47
_cell_length_a 2.8987
_cell_length_b 4.6030
_cell_length_c 4.8334
_cell_angle_alpha 90.00
_cell_angle_beta 90.00
_cell_angle_gamma 90.00
loop_
_symmetry_equiv_pos_as_xyz
'x,y,z'
'-x,-y,-z'
'-x,-y,z'
'x,y,-z'
'x,-y,-z'
'-x,y,z'
'-x,y,-z'
'x,-y,z'
loop_
_atom_site_label
_atom_site_type_symbol
_atom_site_fract_x
_atom_site_fract_y
_atom_site_fract_z
_atom_site_occupancy
Hg1 Hg 0.0000 0.0000 0.0000 1
Mo1 Mo 0.5000 0.0000 0.5000 1
Ru1 Ru 0.0000 0.5000 0.5000 1
Ru2 Ru 0.5000 0.5000 0.0000 1
# - Size of the total moment: 0.00 μB/f.u.
# - E_tot: -6.733 eV per atom
# - Volume: 16.123 Å³/atom


No. 6
# PBE HgMoRu2, optimized geometry
data_HgMoRu2
_chemical_formula_sum 'Hg2 Mo2 Ru4'
_symmetry_space_group_name_H-M 'I -4 m 2'
_symmetry_Int_Tables_number 119
_symmetry_space_group_name_Hall 'I -4 -2'
_cell_length_a 3.8582
_cell_length_b 3.8582
_cell_length_c 8.4957
_cell_angle_alpha 90.00
_cell_angle_beta 90.00
_cell_angle_gamma 90.00
loop_
_atom_site_label
_atom_site_type_symbol
_atom_site_fract_x
_atom_site_fract_y
_atom_site_fract_z
_atom_site_occupancy
Hg1 Hg 0.0000 0.0000 0.0000 1
Mo1 Mo 0.0000 0.5000 0.2500 1
Ru1 Ru 0.0000 0.0000 0.5000 1
Ru2 Ru 0.0000 0.5000 0.7500 1
# - Size of the total moment: 0.00 μB/f.u.
# - E_tot: -6.964 eV per atom
# - Volume: 15.808 Å³/atom


No. 7
# PBE Hg2MoRu, optimized geometry
data_Hg2MoRu
_chemical_formula_sum 'Hg6 Mo3 Ru3'
_symmetry_space_group_name_H-M 'R 3 m'
_symmetry_Int_Tables_number 160
_symmetry_space_group_name_Hall 'R 3 -2"'
_cell_length_a 2.9274
_cell_length_b 2.9274
_cell_length_c 30.0217
_cell_angle_alpha 90.00
_cell_angle_beta 90.00
_cell_angle_gamma 120.00
loop_
_atom_site_label
_atom_site_type_symbol
_atom_site_fract_x
_atom_site_fract_y
_atom_site_fract_z
_atom_site_occupancy
Hg1 Hg 0.0000 0.0000 0.0000 1
Hg2 Hg 0.0000 0.0000 0.2337 1
Mo1 Mo 0.0000 0.0000 0.7517 1
Ru1 Ru 0.0000 0.0000 0.4839 1
# - Size of the total moment: 0.22 μB/f.u.
# - E_tot: -4.848 eV per atom
# - Volume: 18.568 Å³/atom
# - ΔE to the lowest computed polymorph: 0.077 eV per atom


No. 8
# PBE HgMoRu, optimized geometry
data_HgMoRu
_chemical_formula_sum 'Hg1 Mo1 Ru1'
_symmetry_space_group_name_H-M 'P 3 m 1'
_symmetry_Int_Tables_number 156
_cell_length_a 2.8789
_cell_length_b 2.8789
_cell_length_c 7.0673
_cell_angle_alpha 90.00
_cell_angle_beta 90.00
_cell_angle_gamma 120.00
loop_
_symmetry_equiv_pos_as_xyz
'x,y,z'
'-y,x-y,z'
'-x+y,-x,z'
'-y,-x,z'
'-x+y,y,z'
'x,x-y,z'
loop_
_atom_site_label
_atom_site_type_symbol
_atom_site_fract_x
_atom_site_fract_y
_atom_site_fract_z
_atom_site_occupancy
Hg1 Hg 0.0000 0.0000 0.0000 1
Mo1 Mo 0.3333 0.6667 0.3634 1
Ru1 Ru 0.6667 0.3333 0.6476 1
# - Size of the total moment: 0.00 μB/f.u.
# - E_tot: -6.492 eV per atom
# - Volume: 16.909 Å³/atom
# - ΔE to the lowest computed polymorph: 0.030 eV per atom


No. 9
# PBE HgMoRu2, optimized geometry
data_HgMoRu2
_chemical_formula_sum 'Hg2 Mo2 Ru4'
_symmetry_space_group_name_H-M 'C 1 m 1'
_symmetry_Int_Tables_number 8
_cell_length_a 9.4653
_cell_length_b 2.8499
_cell_length_c 4.8396
_cell_angle_alpha 90.00
_cell_angle_beta 101.21
_cell_angle_gamma 90.00
loop_
_symmetry_equiv_pos_as_xyz
'x,y,z'
'x,-y,z'
'x+1/2,y+1/2,z'
'x+1/2,-y+1/2,z'
loop_
_atom_site_label
_atom_site_type_symbol
_atom_site_fract_x
_atom_site_fract_y
_atom_site_fract_z
_atom_site_occupancy
Hg1 Hg 0.0000 0.0000 0.0000 1
Mo1 Mo 0.2636 0.5000 0.3024 1
Ru1 Ru 0.0130 0.5000 0.5013 1
Ru2 Ru 0.2412 0.0000 0.7478 1
# - Size of the total moment: 0.00 μB/f.u.
# - E_tot: -7.002 eV per atom
# - Volume: 16.007 Å³/atom


No. 10
# PBE Hg2MoRu, optimized geometry
data_Hg2MoRu
_chemical_formula_sum 'Hg4 Mo2 Ru2'
_symmetry_space_group_name_H-M 'I 4/m m m'
_symmetry_Int_Tables_number 139
_symmetry_space_group_name_Hall '-I 4 2'
_cell_length_a 4.0699
_cell_length_b 4.0699
_cell_length_c 8.5891
_cell_angle_alpha 90.00
_cell_angle_beta 90.00
_cell_angle_gamma 90.00
loop_
_atom_site_label
_atom_site_type_symbol
_atom_site_fract_x
_atom_site_fract_y
_atom_site_fract_z
_atom_site_occupancy
Hg1 Hg 0.0000 0.5000 0.2500 1
Mo1 Mo 0.0000 0.0000 0.0000 1
Ru1 Ru 0.0000 0.0000 0.5000 1
# - Size of the total moment: 1.58 μB/f.u.
# - E_tot: -4.450 eV per atom
# - Volume: 17.783 Å³/atom
# - ΔE to the lowest computed polymorph: 0.475 eV per atom


No. 11
# PBE Hg2MoRu, optimized geometry
data_Hg2MoRu
_chemical_formula_sum 'Hg2 Mo1 Ru1'
_symmetry_space_group_name_H-M 'P 4 m m'
_symmetry_Int_Tables_number 99
_cell_length_a 2.9906
_cell_length_b 2.9906
_cell_length_c 8.3535
_cell_angle_alpha 90.00
_cell_angle_beta 90.00
_cell_angle_gamma 90.00
loop_
_symmetry_equiv_pos_as_xyz
'x,y,z'
'-y,x,z'
'-x,-y,z'
'y,-x,z'
'-x,y,z'
'y,x,z'
'x,-y,z'
'-y,-x,z'
loop_
_atom_site_label
_atom_site_type_symbol
_atom_site_fract_x
_atom_site_fract_y
_atom_site_fract_z
_atom_site_occupancy
Hg1 Hg 0.0000 0.0000 0.0000 1
Hg2 Hg 0.5000 0.5000 0.3057 1
Mo1 Mo 0.0000 0.0000 0.5692 1
Ru1 Ru 0.5000 0.5000 0.7435 1
# - Size of the total moment: 0.00 μB/f.u.
# - E_tot: -4.925 eV per atom
# - Volume: 18.678 Å³/atom
# - ΔE to the lowest computed polymorph: 0.000 eV per atom


No. 12
# PBE HgMoRu2, optimized geometry
data_HgMoRu2
_chemical_formula_sum 'Hg1 Mo1 Ru2'
_symmetry_space_group_name_H-M 'P 4/m m m'
_symmetry_Int_Tables_number 123
_symmetry_space_group_name_Hall '-P 4 2'
_cell_length_a 3.0769
_cell_length_b 3.0769
_cell_length_c 6.9390
_cell_angle_alpha 90.00
_cell_angle_beta 90.00
_cell_angle_gamma 90.00
loop_
_atom_site_label
_atom_site_type_symbol
_atom_site_fract_x
_atom_site_fract_y
_atom_site_fract_z
_atom_site_occupancy
Hg1 Hg 0.0000 0.0000 0.0000 1
Mo1 Mo 0.0000 0.0000 0.5000 1
Ru1 Ru 0.5000 0.5000 0.2866 1
# - Size of the total moment: 0.00 μB/f.u.
# - E_tot: -7.148 eV per atom
# - Volume: 16.423 Å³/atom


No. 13
# PBE Hg2MoRu, optimized geometry
data_Hg2MoRu
_chemical_formula_sum 'Hg2 Mo1 Ru1'
_symmetry_space_group_name_H-M 'P 4/m m m'
_symmetry_Int_Tables_number 123
_symmetry_space_group_name_Hall '-P 4 2'
_cell_length_a 4.9644
_cell_length_b 4.9644
_cell_length_c 2.9122
_cell_angle_alpha 90.00
_cell_angle_beta 90.00
_cell_angle_gamma 90.00
loop_
_atom_site_label
_atom_site_type_symbol
_atom_site_fract_x
_atom_site_fract_y
_atom_site_fract_z
_atom_site_occupancy
Hg1 Hg 0.0000 0.5000 0.0000 1
Mo1 Mo 0.0000 0.0000 0.5000 1
Ru1 Ru 0.5000 0.5000 0.5000 1
# - Size of the total moment: 1.72 μB/f.u.
# - E_tot: -4.384 eV per atom
# - Volume: 17.943 Å³/atom
# - ΔE to the lowest computed polymorph: 0.540 eV per atom


No. 14
# PBE Hg2MoRu, optimized geometry
data_Hg2MoRu
_chemical_formula_sum 'Hg4 Mo2 Ru2'
_symmetry_space_group_name_H-M 'I -4 m 2'
_symmetry_Int_Tables_number 119
_symmetry_space_group_name_Hall 'I -4 -2'
_cell_length_a 4.2037
_cell_length_b 4.2037
_cell_length_c 7.9531
_cell_angle_alpha 90.00
_cell_angle_beta 90.00
_cell_angle_gamma 90.00
loop_
_atom_site_label
_atom_site_type_symbol
_atom_site_fract_x
_atom_site_fract_y
_atom_site_fract_z
_atom_site_occupancy
Hg1 Hg 0.0000 0.0000 0.0000 1
Hg2 Hg 0.0000 0.5000 0.2500 1
Mo1 Mo 0.0000 0.5000 0.7500 1
Ru1 Ru 0.0000 0.0000 0.5000 1
# - Size of the total moment: 0.00 μB/f.u.
# - E_tot: -4.529 eV per atom
# - Volume: 17.568 Å³/atom
# - ΔE to the lowest computed polymorph: 0.396 eV per atom


Calculated values (g/cm³) of theoretical density for the records, taken in order: 12.9; 13.9; 12.8; 13.8; 12.8; 13.1; 13.4; 13.0; 12.9; 14.0; 13.3; 12.6; 13.8; 14.1.